Entry w
{"formula": "VINF2", "functional": "PBE with a Hubbard U", "state": "optimized geometry", "cell": [[3.9530, 0.0000, 0.0000], [0.0000, 3.9530, 0.0000], [0.0000, 0.0000, 4.5249]], "species": ["V", "I", "N", "F", "F"], "frac_coords": [[0.0000, 0.0000, 0.0000], [0.5000, 0.5000, 0.5000], [0.0000, 0.0000, 0.5000], [0.0000, 0.5000, 0.0000], [0.5000, 0.0000, 0.0000]], "dos_ef_per_ev_cell": 4.0}

Entry x
{"formula": "VINF2", "functional": "PBE with a Hubbard U", "state": "optimized geometry", "cell": [[4.8459, 0.0000, 0.0000], [0.0000, 4.8459, 0.0000], [0.0000, 0.0000, 4.0827]], "species": ["V", "I", "N", "F", "F"], "frac_coords": [[0.0000, 0.0000, 0.0000], [0.5000, 0.5000, 0.5000], [0.5000, 0.5000, 0.0000], [0.0000, 0.5000, 0.5000], [0.5000, 0.0000, 0.5000]], "dos_ef_per_ev_cell": 2.4}

Stability, descending: entry w, entry x

Entry w
{"formula": "VIN2F", "functional": "PBE with a Hubbard U", "state": "optimized geometry", "cell": [[4.1771, 0.0000, 0.0000], [0.0000, 4.1771, 0.0000], [0.0000, 0.0000, 4.3982]], "species": ["V", "I", "N", "N", "F"], "frac_coords": [[0.0000, 0.0000, 0.0000], [0.5000, 0.5000, 0.0000], [0.0000, 0.5000, 0.5000], [0.5000, 0.0000, 0.5000], [0.5000, 0.5000, 0.5000]], "dos_ef_per_ev_cell": 4.6}

Entry x
{"formula": "VIN2F", "functional": "PBE with a Hubbard U", "state": "optimized geometry", "cell": [[4.0095, 0.0000, 0.0000], [0.0000, 4.0095, 0.0000], [0.0000, 0.0000, 3.9859]], "species": ["V", "I", "N", "N", "F"], "frac_coords": [[0.0000, 0.0000, 0.0000], [0.5000, 0.5000, 0.5000], [0.0000, 0.5000, 0.0000], [0.5000, 0.0000, 0.0000], [0.0000, 0.0000, 0.5000]], "dos_ef_per_ev_cell": 4.7}

Entry y
{"formula": "VIN2F", "functional": "PBE with a Hubbard U", "state": "optimized geometry", "cell": [[4.1953, 0.0000, 0.0000], [0.0000, 4.1953, 0.0000], [0.0000, 0.0000, 4.3261]], "species": ["V", "I", "N", "N", "F"], "frac_coords": [[0.0000, 0.0000, 0.0000], [0.5000, 0.5000, 0.5000], [0.0000, 0.5000, 0.5000], [0.5000, 0.0000, 0.5000], [0.5000, 0.5000, 0.0000]], "dos_ef_per_ev_cell": 3.3}

Stability, descending: entry x, entry y, entry w